Entry from the Alexandria database: a relaxed KVSi3 crystal (PBE).

abc: 5.117 5.117 5.117
angles: 90.00 90.00 90.00
Space group Pm-3m (No. 221)
Symmetry-distinct sites (fractional):
K: 0.000 0.000 0.000 x1
V: 0.500 0.500 0.500 x1
Si: 0.000 0.000 0.500 x3

total magnetic moment	2.9	μB per cell
V	134	Å³/cell
ΔE to the lowest computed polymorph	2207	meV per atom
E_form (uncorrected)	2.34	eV/atom
total energy	-2.958	eV per atom

---

Entry from the Alexandria database: a relaxed Ba2MnS crystal (PBE).

abc: 7.968 7.968 7.968
angles: 90.00 90.00 90.00
Space group Fm-3m (No. 225)
Symmetry-distinct sites (fractional):
Ba: 0.250 0.250 0.250 x8
Mn: 0.000 0.000 0.000 x4
S: 0.000 0.000 0.500 x4

total magnetic moment	13.7	μB per cell
V	506	Å³/cell
ΔE to the lowest computed polymorph	73	meV per atom
E_form (uncorrected)	-0.23	eV/atom
total energy	-4.514	eV per atom

---

Entry from the Alexandria database: a relaxed Tl4BrF5 crystal (PBE).

abc: 7.699 8.124 7.136
angles: 90.00 90.00 90.00
Space group Pmmn (No. 59, origin choice 2)
Symmetry-distinct sites (fractional):
Tl: 0.030 0.250 0.018 x4
Tl: 0.250 0.571 0.459 x4
Br: 0.250 0.250 0.605 x2
F: 0.017 0.034 0.295 x8
F: 0.250 0.750 0.155 x2

total magnetic moment	0.0	μB per cell
V	446	Å³/cell
E_form (uncorrected)	-1.52	eV/atom
total energy	-3.565	eV per atom

---

Entry from the Alexandria database: a relaxed NdBiP2 crystal (PBE).

abc: 4.3408 4.3408 24.1330
angles: 90.00 90.00 120.00
Space group R-3m (No. 166, hexagonal axes)
Symmetry-distinct sites (fractional):
Nd: 0.0000 0.0000 0.0000 x3
Bi: 0.0000 0.0000 0.5000 x3
P: 0.0000 0.0000 0.3924 x6

total magnetic moment	0.0	μB per cell
energy of formation from the pure elements	-0.10	eV per atom
V	394	Å³/cell
total energy	-4.970	eV per atom

---

Entry from the Alexandria database: a relaxed Cd2OsSe crystal (PBE).

abc: 3.599 3.599 5.856
angles: 90.00 90.00 90.00
Space group P4/mmm (No. 123)
Symmetry-distinct sites (fractional):
Cd: 0.000 0.000 0.238 x2
Os: 0.500 0.500 0.000 x1
Se: 0.500 0.500 0.500 x1

total magnetic moment	0.0	μB per cell
V	76	Å³/cell
E_form (uncorrected)	0.59	eV/atom
total energy	-3.542	eV per atom

---

Entry from the Alexandria database: a relaxed Tb4Pr3Er4 crystal (PBE).

abc: 10.661 5.719 12.042
angles: 90.00 90.00 90.00
Space group Amm2 (No. 38)
Symmetry-distinct sites (fractional):
Tb: 0.000 0.000 0.000 x2
Tb: 0.215 0.000 0.794 x4
Tb: 0.500 0.000 0.931 x2
Pr: 0.000 0.000 0.297 x2
Pr: 0.291 0.000 0.451 x4
Er: 0.000 0.000 0.600 x2
Er: 0.298 0.000 0.146 x4
Er: 0.500 0.000 0.658 x2

total magnetic moment	0.0	μB per cell
energy of formation from the pure elements	0.16	eV per atom
V	734	Å³/cell
ΔE to the lowest computed polymorph	138	meV per atom
total energy	-4.489	eV per atom

---

Entry from the Alexandria database: a relaxed LaSc4As crystal (PBE).

abc: 8.585 8.585 8.585
angles: 90.00 90.00 90.00
Space group F-43m (No. 216)
Symmetry-distinct sites (fractional):
La: 0.000 0.000 0.000 x4
Sc: 0.126 0.126 0.626 x16
As: 0.250 0.250 0.250 x4

total magnetic moment	9.4	μB per cell
energy of formation from the pure elements	0.17	eV per atom
V	633	Å³/cell
total energy	-5.646	eV per atom

---

Entry from the Alexandria database: a relaxed HoTmTlRu crystal (PBE).

abc: 3.366 3.366 8.261
angles: 90.00 90.00 90.00
Space group P4mm (No. 99)
Symmetry-distinct sites (fractional):
Ho: 0.000 0.000 0.000 x1
Tm: 0.000 0.000 0.598 x1
Tl: 0.500 0.500 0.301 x1
Ru: 0.500 0.500 0.796 x1

total magnetic moment	0.0	μB per cell
energy of formation from the pure elements	-0.45	eV per atom
V	94	Å³/cell
ΔE to the lowest computed polymorph	0	meV per atom
total energy	-5.618	eV per atom

---

Entry from the Alexandria database: a relaxed Pr6HoSe8 crystal (PBE).

abc: 12.002 12.002 12.002
angles: 90.00 90.00 90.00
Space group Fm-3m (No. 225)
Symmetry-distinct sites (fractional):
Pr: 0.000 0.250 0.250 x24
Ho: 0.000 0.000 0.000 x4
Se: 0.000 0.000 0.243 x24
Se: 0.250 0.250 0.250 x8

total magnetic moment	0.0	μB per cell
V	1729	Å³/cell
E_form (uncorrected)	-1.87	eV/atom
total energy	-5.948	eV per atom

---

Entry from the Alexandria database: a relaxed Tb6Sc2In crystal (PBE).

abc: 16.347 9.443 3.335
angles: 90.00 90.09 90.00
Space group C2/m (No. 12)
Symmetry-distinct sites (fractional):
Tb: 0.000 0.170 0.000 x4
Tb: 0.165 0.335 0.998 x8
Sc: 0.167 0.000 0.500 x4
In: 0.000 0.500 0.500 x2

total magnetic moment	0.0	μB per cell
energy of formation from the pure elements	0.01	eV per atom
V	515	Å³/cell
total energy	-4.787	eV per atom

---

Entry from the Alexandria database: a relaxed Na4LiBi2 crystal (PBE).

abc: 5.3509 5.3509 29.8444
angles: 90.00 90.00 120.00
Space group R-3m (No. 166, hexagonal axes)
Symmetry-distinct sites (fractional):
Na: 0.0000 0.0000 0.1048 x6
Na: 0.0000 0.0000 0.2985 x6
Li: 0.0000 0.0000 0.5000 x3
Bi: 0.0000 0.0000 0.4086 x6

total magnetic moment	0.0	μB per cell
energy of formation from the pure elements	-0.25	eV per atom
V	740	Å³/cell
total energy	-2.383	eV per atom

---

Entry from the Alexandria database: a relaxed CrWS2 crystal (PBE).

abc: 2.9203 2.9203 23.5663
angles: 90.00 90.00 120.00
Space group R-3m (No. 166, hexagonal axes)
Symmetry-distinct sites (fractional):
Cr: 0.0000 0.0000 0.0000 x3
W: 0.0000 0.0000 0.5000 x3
S: 0.0000 0.0000 0.3987 x6

total magnetic moment	0.0	μB per cell
V	174	Å³/cell
ΔE to the lowest computed polymorph	0	meV per atom
E_form (uncorrected)	-0.07	eV/atom
total energy	-7.782	eV per atom